Below is an optimized crystal structure of Tb2Pm3Sm6Tm, with properties calculated at the PBE level.

Output
- Final energy: -112.2 eV/cell
- Density: 7.58 g cm⁻³

Unit cell a=6.258 b=10.837 c=11.960 alpha=90.00 beta=100.04 gamma=90.00
Space group C2/m (No. 12)
Unique sites:
Tb (0.000, 0.167, 0.000) [4 per cell]
Pm (0.000, 0.000, 0.500) [2 per cell]
Pm (0.000, 0.333, 0.500) [4 per cell]
Sm (0.249, 0.334, 0.247) [8 per cell]
Sm (0.250, 0.000, 0.247) [4 per cell]
Tm (0.000, 0.500, 0.000) [2 per cell]

Below is an optimized crystal structure of TbPmSmTm, with properties calculated at the PBE level.

Output
- Energy relative to the lowest polymorph listed for this composition: 0.0 meV per atom
- Density: 7.91 g cm⁻³

Unit cell a=12.481 b=5.880 c=3.732 alpha=90.00 beta=107.15 gamma=90.00
Space group Cm (No. 8)
Unique sites:
Tb (0.000, 0.000, 0.000) [2 per cell]
Pm (0.243, 0.500, 0.282) [2 per cell]
Sm (0.478, 0.000, 0.473) [2 per cell]
Tm (0.237, 0.000, 0.757) [2 per cell]

Below is an optimized crystal structure of TbPm2SmTm5, with properties calculated at the PBE level.

Output
- Final energy: -155.3 eV/cell
- Density: 8.41 g cm⁻³

Unit cell a=8.590 b=8.590 c=15.461 alpha=90.00 beta=90.00 gamma=90.00
Space group I4/mcm (No. 140)
Unique sites:
Tb (0.000, 0.000, 0.250) [4 per cell]
Pm (0.117, 0.383, 0.000) [8 per cell]
Sm (0.000, 0.500, 0.250) [4 per cell]
Tm (0.000, 0.000, 0.000) [4 per cell]
Tm (0.210, 0.290, 0.362) [16 per cell]

Below is an optimized crystal structure of TbPmSm2Tm, with properties calculated at the PBE level.

Output
- Final energy: -85.1 eV/cell
- Density: 7.31 g cm⁻³

Unit cell a=8.416 b=11.566 c=7.225 alpha=90.00 beta=90.00 gamma=90.00
Space group Cmcm (No. 63)
Unique sites:
Tb (0.000, 0.009, 0.250) [4 per cell]
Pm (0.000, 0.275, 0.250) [4 per cell]
Sm (0.191, 0.500, 0.000) [8 per cell]
Tm (0.000, 0.270, 0.750) [4 per cell]

Below is an optimized crystal structure of TbPm2SmTm4, with properties calculated at the PBE level.

Output
- Final energy: -133.2 eV/cell
- Density: 8.02 g cm⁻³

Unit cell a=13.574 b=13.234 c=6.785 alpha=90.00 beta=119.99 gamma=90.00
Space group C2/c (No. 15)
Unique sites:
Tb (0.000, 0.000, 0.000) [4 per cell]
Pm (0.000, 0.500, 0.000) [4 per cell]
Pm (0.250, 0.250, 0.000) [4 per cell]
Sm (0.250, 0.250, 0.500) [4 per cell]
Tm (0.000, 0.248, 0.000) [8 per cell]
Tm (0.248, 0.000, 0.499) [8 per cell]

Below is an optimized crystal structure of TbPm2Sm6Tm, with properties calculated at the PBE level.

Output
- Final energy: -183.0 eV/cell
- Density: 7.49 g cm⁻³

Unit cell a=9.159 b=15.276 c=9.730 alpha=90.00 beta=98.16 gamma=90.00
Space group C2/c (No. 15)
Unique sites:
Tb (0.000, 0.021, 0.250) [4 per cell]
Pm (0.249, 0.051, 0.543) [8 per cell]
Sm (0.062, 0.185, 0.945) [8 per cell]
Sm (0.103, 0.394, 0.119) [8 per cell]
Sm (0.206, 0.222, 0.311) [8 per cell]
Tm (0.000, 0.409, 0.750) [4 per cell]

Below is an optimized crystal structure of Tb2PmSm6Tm, with properties calculated at the PBE level.

Output
- Final energy: -182.5 eV/cell
- Density: 7.61 g cm⁻³

Unit cell a=9.198 b=15.243 c=9.629 alpha=90.00 beta=97.19 gamma=90.00
Space group C2/c (No. 15)
Unique sites:
Tb (0.248, 0.051, 0.454) [8 per cell]
Pm (0.000, 0.475, 0.250) [4 per cell]
Sm (0.061, 0.317, 0.945) [8 per cell]
Sm (0.100, 0.109, 0.118) [8 per cell]
Sm (0.211, 0.277, 0.313) [8 per cell]
Tm (0.000, 0.089, 0.750) [4 per cell]

Below is an optimized crystal structure of TbPm3Sm2Tm6, with properties calculated at the PBE level.

Output
- Final energy: -109.9 eV/cell
- Density: 8.34 g cm⁻³

Unit cell a=6.176 b=10.693 c=11.684 alpha=90.00 beta=100.11 gamma=90.00
Space group C2/m (No. 12)
Unique sites:
Tb (0.000, 0.000, 0.000) [2 per cell]
Pm (0.000, 0.167, 0.500) [4 per cell]
Pm (0.000, 0.500, 0.500) [2 per cell]
Sm (0.000, 0.333, 0.000) [4 per cell]
Tm (0.250, 0.000, 0.751) [4 per cell]
Tm (0.250, 0.167, 0.249) [8 per cell]

Below is an optimized crystal structure of TbPmSmTm, with properties calculated at the PBE level.

Output
- Energy relative to the lowest polymorph listed for this composition: 9.2 meV per atom
- Density: 7.88 g cm⁻³

Unit cell a=8.069 b=8.069 c=8.069 alpha=90.00 beta=90.00 gamma=90.00
Space group F-43m (No. 216)
Unique sites:
Tb (0.000, 0.000, 0.000) [4 per cell]
Pm (0.250, 0.250, 0.750) [4 per cell]
Sm (0.250, 0.250, 0.250) [4 per cell]
Tm (0.000, 0.000, 0.500) [4 per cell]

Below is an optimized crystal structure of Tb4PmSmTm2, with properties calculated at the PBE level.

Output
- Final energy: -134.0 eV/cell
- Density: 7.94 g cm⁻³

Unit cell a=6.797 b=11.786 c=13.252 alpha=90.00 beta=90.00 gamma=90.00
Space group Imma (No. 74)
Unique sites:
Tb (0.000, 0.004, 0.247) [8 per cell]
Tb (0.248, 0.250, 0.004) [8 per cell]
Pm (0.250, 0.250, 0.750) [4 per cell]
Sm (0.000, 0.000, 0.500) [4 per cell]
Tm (0.000, 0.000, 0.000) [4 per cell]
Tm (0.250, 0.250, 0.250) [4 per cell]

Below is an optimized crystal structure of TbPmSm6Tm2, with properties calculated at the PBE level.

Output
- Final energy: -181.8 eV/cell
- Density: 7.70 g cm⁻³

Unit cell a=9.212 b=15.138 c=9.640 alpha=90.00 beta=97.64 gamma=90.00
Space group C2/c (No. 15)
Unique sites:
Tb (0.000, 0.029, 0.250) [4 per cell]
Pm (0.000, 0.407, 0.750) [4 per cell]
Sm (0.065, 0.178, 0.945) [8 per cell]
Sm (0.098, 0.392, 0.120) [8 per cell]
Sm (0.209, 0.226, 0.317) [8 per cell]
Tm (0.246, 0.049, 0.546) [8 per cell]

Below is an optimized crystal structure of Tb2PmSm5Tm, with properties calculated at the PBE level.

Output
- Final energy: -163.1 eV/cell
- Density: 7.52 g cm⁻³

Unit cell a=5.637 b=20.268 c=10.690 alpha=90.00 beta=90.00 gamma=90.00
Space group Cmc2_1 (No. 36)
Unique sites:
Tb (0.000, 0.110, 0.000) [4 per cell]
Tb (0.000, 0.115, 0.580) [4 per cell]
Pm (0.000, 0.201, 0.273) [4 per cell]
Sm (0.000, 0.016, 0.285) [4 per cell]
Sm (0.000, 0.281, 0.571) [4 per cell]
Sm (0.000, 0.299, 0.968) [4 per cell]
Sm (0.000, 0.391, 0.287) [4 per cell]
Sm (0.000, 0.480, 0.005) [4 per cell]
Tm (0.000, 0.410, 0.722) [4 per cell]

Below is an optimized crystal structure of Tb2Pm4SmTm, with properties calculated at the PBE level.

Output
- Final energy: -37.3 eV/cell
- Density: 7.64 g cm⁻³

Unit cell a=6.240 b=3.614 c=11.917 alpha=90.00 beta=100.21 gamma=90.00
Space group P2/m (No. 10)
Unique sites:
Tb (0.000, 0.000, 0.000) [1 per cell]
Tb (0.000, 0.500, 0.500) [1 per cell]
Pm (0.250, 0.000, 0.748) [2 per cell]
Pm (0.250, 0.500, 0.252) [2 per cell]
Sm (0.500, 0.500, 0.000) [1 per cell]
Tm (0.500, 0.000, 0.500) [1 per cell]

Below is an optimized crystal structure of Tb2PmSm2Tm2, with properties calculated at the PBE level.

Output
- Final energy: -64.5 eV/cell
- Density: 8.12 g cm⁻³

Unit cell a=11.261 b=5.052 c=7.998 alpha=90.00 beta=98.09 gamma=90.00
Space group C2/m (No. 12)
Unique sites:
Tb (0.143, 0.000, 0.430) [4 per cell]
Pm (0.000, 0.000, 0.000) [2 per cell]
Sm (0.072, 0.500, 0.716) [4 per cell]
Tm (0.214, 0.500, 0.143) [4 per cell]

Below is an optimized crystal structure of Tb2PmSmTm4, with properties calculated at the PBE level.

Output
- Final energy: -132.5 eV/cell
- Density: 8.16 g cm⁻³

Unit cell a=6.775 b=11.718 c=13.224 alpha=90.00 beta=90.00 gamma=90.00
Space group Imma (No. 74)
Unique sites:
Tb (0.000, 0.000, 0.000) [4 per cell]
Tb (0.250, 0.250, 0.250) [4 per cell]
Pm (0.000, 0.000, 0.500) [4 per cell]
Sm (0.250, 0.250, 0.750) [4 per cell]
Tm (0.000, 0.002, 0.249) [8 per cell]
Tm (0.249, 0.250, 0.001) [8 per cell]

Below is an optimized crystal structure of TbPm2Sm6Tm3, with properties calculated at the PBE level.

Output
- Final energy: -111.3 eV/cell
- Density: 7.87 g cm⁻³

Unit cell a=6.227 b=10.785 c=11.858 alpha=90.00 beta=100.06 gamma=90.00
Space group C2/m (No. 12)
Unique sites:
Tb (0.000, 0.000, 0.000) [2 per cell]
Pm (0.000, 0.333, 0.000) [4 per cell]
Sm (0.248, 0.000, 0.746) [4 per cell]
Sm (0.249, 0.334, 0.746) [8 per cell]
Tm (0.000, 0.167, 0.500) [4 per cell]
Tm (0.000, 0.500, 0.500) [2 per cell]

Below is an optimized crystal structure of Tb2PmSmTm2, with properties calculated at the PBE level.

Output
- Final energy: -52.0 eV/cell
- Density: 7.98 g cm⁻³

Unit cell a=6.524 b=17.867 c=3.395 alpha=90.00 beta=90.00 gamma=90.00
Space group Pnnm (No. 58)
Unique sites:
Tb (0.223, 0.187, 0.000) [4 per cell]
Pm (0.000, 0.000, 0.000) [2 per cell]
Sm (0.000, 0.500, 0.000) [2 per cell]
Tm (0.222, 0.352, 0.500) [4 per cell]

Below is an optimized crystal structure of Tb2Pm6Sm3Y, with properties calculated at the PBE level.

Output
- Final energy: -116.5 eV/cell
- Density: 7.10 g cm⁻³

Unit cell a=6.286 b=10.886 c=11.990 alpha=90.00 beta=100.05 gamma=90.00
Space group C2/m (No. 12)
Unique sites:
Tb (0.000, 0.167, 0.000) [4 per cell]
Pm (0.249, 0.000, 0.248) [4 per cell]
Pm (0.250, 0.167, 0.752) [8 per cell]
Sm (0.000, 0.000, 0.500) [2 per cell]
Sm (0.000, 0.333, 0.500) [4 per cell]
Y (0.000, 0.500, 0.000) [2 per cell]

Below is an optimized crystal structure of Tb2Pm2Sm4Y, with properties calculated at the PBE level.

Output
- Final energy: -88.1 eV/cell
- Density: 7.15 g cm⁻³

Unit cell a=18.913 b=3.647 c=9.694 alpha=90.00 beta=115.69 gamma=90.00
Space group C2/m (No. 12)
Unique sites:
Tb (0.148, 0.000, 0.167) [4 per cell]
Pm (0.166, 0.500, 0.498) [4 per cell]
Sm (0.019, 0.500, 0.835) [4 per cell]
Sm (0.186, 0.000, 0.833) [4 per cell]
Y (0.000, 0.000, 0.500) [2 per cell]

Below is an optimized crystal structure of Tb6Pm2Sm3Y, with properties calculated at the PBE level.

Output
- Final energy: -115.5 eV/cell
- Density: 7.52 g cm⁻³

Unit cell a=6.229 b=10.782 c=11.905 alpha=90.00 beta=100.00 gamma=90.00
Space group C2/m (No. 12)
Unique sites:
Tb (0.250, 0.000, 0.250) [4 per cell]
Tb (0.250, 0.167, 0.750) [8 per cell]
Pm (0.000, 0.167, 0.000) [4 per cell]
Sm (0.000, 0.000, 0.500) [2 per cell]
Sm (0.000, 0.333, 0.500) [4 per cell]
Y (0.000, 0.500, 0.000) [2 per cell]